# 1
## ScSbMo (GGA-PBEsol)

Data for ScSbMo after structural relaxation.

a b c (Å): 6.389 6.389 6.389
angles (deg): 90.00 90.00 90.00
Space group F-43m (No. 216)
One atom of each set of equivalent atoms:
Sc (0.000, 0.000, 0.000) [4 per cell]
Sb (0.000, 0.000, 0.500) [4 per cell]
Mo (0.250, 0.250, 0.750) [4 per cell]

For the uncorrected formation energy, the calculation gives 0.22 eV/atom.

=====

# 2
## KGa3Ir (GGA-PBEsol)

Data for KGa3Ir after structural relaxation.

a b c (Å): 4.820 4.820 4.820
angles (deg): 90.00 90.00 90.00
Space group Pm-3m (No. 221)
One atom of each set of equivalent atoms:
K (0.000, 0.000, 0.000) [1 per cell]
Ga (0.000, 0.500, 0.500) [3 per cell]
Ir (0.500, 0.500, 0.500) [1 per cell]

As for the formation energy: -236.2 meV per atom. The energy above the lowest structure with this stoichiometry comes out at 0.000 eV/f.u.

=====

# 3
## K2SrTc (GGA-PBEsol)

Data for K2SrTc after structural relaxation.

a b c (Å): 3.561 3.561 12.260
angles (deg): 90.00 90.00 90.00
Space group P4/mmm (No. 123)
One atom of each set of equivalent atoms:
K (0.000, 0.000, 0.193) [2 per cell]
Sr (0.500, 0.500, 0.500) [1 per cell]
Tc (0.500, 0.500, 0.000) [1 per cell]

As for the formation energy: 1329.5 meV per atom. The energy above the lowest structure with this stoichiometry comes out at 1.448 eV/f.u.

=====

# 4
## NiHg2Mo (GGA-PBEsol)

Data for NiHg2Mo after structural relaxation.

a b c (Å): 2.876 2.876 7.995
angles (deg): 90.00 90.00 90.00
Space group P4mm (No. 99)
One atom of each set of equivalent atoms:
Ni (0.000, 0.000, 0.000) [1 per cell]
Hg (0.000, 0.000, 0.544) [1 per cell]
Hg (0.500, 0.500, 0.232) [1 per cell]
Mo (0.500, 0.500, 0.813) [1 per cell]

As for the formation energy: 207.2 meV per atom. The energy above the lowest structure with this stoichiometry comes out at 0.000 eV/f.u.

=====

# 5
## PaPd3 (GGA-PBEsol)

Data for PaPd3 after structural relaxation.

a b c (Å): 5.6367 5.6367 4.9903
angles (deg): 90.00 90.00 120.00
Space group P6_3/mmc (No. 194)
One atom of each set of equivalent atoms:
Pa (0.3333, 0.6667, 0.2500) [2 per cell]
Pd (0.1645, 0.3290, 0.7500) [6 per cell]

As for the formation energy: -775.1 meV per atom.

=====

# 6
## NbNiAsBr2 (GGA-PBEsol)

Data for NbNiAsBr2 after structural relaxation.

a b c (Å): 5.003 5.003 5.090
angles (deg): 90.00 90.00 90.00
Space group P4/mmm (No. 123)
One atom of each set of equivalent atoms:
Nb (0.000, 0.000, 0.000) [1 per cell]
Ni (0.500, 0.500, 0.500) [1 per cell]
As (0.000, 0.000, 0.500) [1 per cell]
Br (0.000, 0.500, 0.000) [2 per cell]

For the uncorrected formation energy, the calculation gives 0.67 eV/atom.

=====

# 7
## CrGa3Te (GGA-PBEsol)

Data for CrGa3Te after structural relaxation.

a b c (Å): 4.832 4.832 4.832
angles (deg): 90.00 90.00 90.00
Space group Pm-3m (No. 221)
One atom of each set of equivalent atoms:
Cr (0.000, 0.000, 0.000) [1 per cell]
Ga (0.000, 0.000, 0.500) [3 per cell]
Te (0.500, 0.500, 0.500) [1 per cell]

For the uncorrected formation energy, the calculation gives 0.42 eV/atom.

=====

# 8
## Ta2Mo3 (GGA-PBEsol)

Data for Ta2Mo3 after structural relaxation.

a b c (Å): 3.175 3.175 15.948
angles (deg): 90.00 90.00 90.00
Space group I4/mmm (No. 139)
One atom of each set of equivalent atoms:
Ta (0.000, 0.000, 0.099) [4 per cell]
Mo (0.000, 0.000, 0.297) [4 per cell]
Mo (0.000, 0.000, 0.500) [2 per cell]

As for the formation energy: -185.7 meV per atom. The energy above the lowest structure with this stoichiometry comes out at 0.000 eV/f.u.

=====

no.,V (Å³/atom)
1,21.73
2,22.40
3,38.86
4,16.53
5,17.16
6,25.48
7,22.57
8,16.08